Record 1
Here is a relaxed structure of TbGaTe2 from Alexandria. Energies are from PBE.

Its uncorrected formation energy is -87.4 kJ per mole of atoms. As for the space-group type: No. 164. As for the density of states at the Fermi level: 0.18 states/eV per cell.

```
8
Lattice="4.4148 0.0000 0.0000 -2.2074 8.1427 2.9065 0.0000 0.8819 7.5948" Properties=species:S:1:pos:R:3 pbc="T T T"
Ga 2.2074 0.4410 3.7974
Ga 0.0000 0.0000 0.0000
Te 2.2074 2.8026 6.0899
Te 0.0000 6.2220 4.4114
Te 2.2074 6.6626 8.2085
Te 0.0000 2.3620 2.2928
Tb 0.0000 4.7323 7.1495
Tb 2.2074 4.2923 3.3518
```

Record 2
Here is a relaxed structure of Tb2GaTe from Alexandria. Energies are from PBE.

Its energy above the most stable polymorph in this dataset is 21.3 kJ/mol of atoms. Its uncorrected formation energy is -77.1 kJ per mole of atoms. As for the space-group type: No. 160. As for the density of states at the Fermi level: 2.72 states/eV per cell.

```
4
Lattice="4.0441 0.0000 0.0000 2.0220 3.5023 0.0000 2.0220 1.1674 8.0258" Properties=species:S:1:pos:R:3 pbc="T T T"
Ga 4.0441 2.3348 4.0328
Tb 2.0220 1.1674 2.0528
Tb 2.0220 1.1674 5.9821
Te 6.0661 3.5023 7.9967
```

Record 3
Here is a relaxed structure of TbGa2Te4 from Alexandria. Energies are from PBE.

Its uncorrected formation energy is -45.5 kJ per mole of atoms. As for the space-group type: No. 87. As for the density of states at the Fermi level: 3.42 states/eV per cell.

```
7
Lattice="6.7476 0.0618 0.0000 -3.1946 5.9438 0.0000 -1.7765 -3.0028 5.7759" Properties=species:S:1:pos:R:3 pbc="T T T"
Te 4.3409 1.4856 0.7779
Te -2.5644 1.5172 4.9980
Te 0.6695 -0.3961 2.7963
Te 1.1070 3.3989 2.9796
Ga 3.3738 0.0309 2.8880
Ga -1.5973 2.9719 2.8880
Tb 1.7765 3.0028 0.0000
```

Record 4
Here is a relaxed structure of TbGaTe4 from Alexandria. Energies are from PBE.

Its uncorrected formation energy is -57.7 kJ per mole of atoms. As for the space-group type: No. 11. As for the density of states at the Fermi level: 0.07 states/eV per cell.

```
12
Lattice="-4.4542 0.4293 4.2235 1.7717 -7.2228 -2.7906 6.5889 -1.1122 7.0619" Properties=species:S:1:pos:R:3 pbc="T T T"
Te 0.1177 -4.5266 5.1891
Te 3.6649 -1.8358 6.3300
Te 3.4356 -6.4973 5.8097
Te 0.4709 -1.4084 2.6850
Te 0.2416 -6.0699 2.1648
Te -2.5068 -4.0835 2.3762
Te 3.7888 -3.3792 3.3056
Te 6.4133 -3.8222 6.1185
Ga 1.7690 -1.8068 8.1034
Ga 2.1375 -6.0989 0.3913
Tb -1.7852 -1.9171 4.7099
Tb 5.6917 -5.9886 3.7849
```